Compound: Tb2ErAl3AgGe2
Source: OQMD via LeMat-Bulk
Functional: PBE-GGA
Structure: optimized geometry

Structure (POSCAR):
```
Tb2ErAl3AgGe2
1.0
-2.5857 0.5217 3.3628
1.8585 -6.3538 2.4147
3.6643 5.7001 1.9333
Er Al Ge Ag Tb
1 3 2 1 2
direct
0.0000 0.4130 0.4130
0.5000 0.2399 0.0005
0.5000 0.0005 0.2399
0.5000 0.7599 0.7599
0.5000 0.6644 0.3338
0.5000 0.3338 0.6644
0.0000 0.0030 0.0030
0.0000 0.5863 0.9992
0.0000 0.9992 0.5863
```

Results
SG = Amm2 (38)

---

Compound: Er2TmAl3AgGe2
Source: OQMD via LeMat-Bulk
Functional: PBE-GGA
Structure: optimized geometry

Structure (POSCAR):
```
Er2TmAl3AgGe2
1.0
-1.2853 3.4867 -2.0452
-2.9845 2.3519 5.8851
6.6639 1.6159 -1.4332
Al Ge Ag Tm Er
3 2 1 1 2
direct
0.5000 0.0002 0.2415
0.5000 0.2415 0.0002
0.5000 0.7585 0.7585
0.5000 0.3335 0.6660
0.5000 0.6660 0.3335
0.0000 0.0010 0.0010
0.0000 0.4128 0.4128
0.0000 0.5869 0.9998
0.0000 0.9998 0.5869
```

Results
SG = Amm2 (38)

---

Compound: YEr2Al3AgGe2
Source: OQMD via LeMat-Bulk
Functional: PBE-GGA
Structure: optimized geometry

Structure (POSCAR):
```
YEr2Al3AgGe2
1.0
4.2637 0.0000 0.0000
0.0000 6.1013 3.5150
0.0000 -6.1013 3.5150
Al Y Ge Er Ag
3 1 2 2 1
direct
0.5000 0.7592 0.0003
0.5000 0.2409 0.2409
0.5000 0.0003 0.7592
0.0000 0.5858 0.5858
0.5000 0.6671 0.3311
0.5000 0.3311 0.6671
0.0000 0.4134 0.9992
0.0000 0.9992 0.4134
0.0000 0.0030 0.0030
```

Results
SG = Amm2 (38)

---

Compound: HoEr2Al7Ag2
Source: OQMD via LeMat-Bulk
Functional: PBE-GGA
Structure: optimized geometry

Structure (POSCAR):
```
HoEr2Al7Ag2
1.0
2.7622 1.5947 8.7425
-2.7622 1.5947 8.7425
0.0000 -3.1895 8.7425
Ag Er Al Ho
2 2 7 1
direct
0.3358 0.3358 0.3358
0.6642 0.6642 0.6642
0.1424 0.1424 0.1424
0.8576 0.8576 0.8576
0.4118 0.4118 0.9240
0.9240 0.4118 0.4118
0.5000 0.5000 0.5000
0.0760 0.5882 0.5882
0.4118 0.9240 0.4118
0.5882 0.0760 0.5882
0.5882 0.5882 0.0760
0.0000 0.0000 0.0000
```

Results
SG = R-3m (166)

---

Compound: HoEr2Al3AgIr2
Source: OQMD via LeMat-Bulk
Functional: PBE-GGA
Structure: optimized geometry

Structure (POSCAR):
```
HoEr2Al3AgIr2
1.0
4.0118 0.0000 0.0000
0.0000 6.1715 3.5532
0.0000 -6.1715 3.5532
Al Er Ho Ir Ag
3 2 1 2 1
direct
0.5000 0.7407 0.0000
0.5000 0.0000 0.7407
0.5000 0.2592 0.2592
0.0000 0.0000 0.4183
0.0000 0.4183 0.0000
0.0000 0.5815 0.5815
0.5000 0.6671 0.3322
0.5000 0.3322 0.6671
0.0000 0.0011 0.0011
```

Results
SG = Amm2 (38)

---

Compound: ErTm2Al3AgIr2
Source: OQMD via LeMat-Bulk
Functional: PBE-GGA
Structure: optimized geometry

Structure (POSCAR):
```
ErTm2Al3AgIr2
1.0
3.9810 0.0000 0.0000
0.0000 6.1786 3.5554
0.0000 -6.1786 3.5554
Tm Ir Er Al Ag
2 2 1 3 1
direct
0.0000 0.4176 0.0000
0.0000 0.0000 0.4176
0.5000 0.6671 0.3321
0.5000 0.3321 0.6671
0.0000 0.5822 0.5822
0.5000 0.7395 0.0000
0.5000 0.2605 0.2605
0.5000 0.0000 0.7395
0.0000 0.0011 0.0011
```

Results
SG = Amm2 (38)

---

Compound: LaEr2Al7Ag2
Source: OQMD via LeMat-Bulk
Functional: PBE-GGA
Structure: optimized geometry

Structure (POSCAR):
```
LaEr2Al7Ag2
1.0
2.7907 1.6112 8.8081
-2.7907 1.6112 8.8081
0.0000 -3.2224 8.8081
Al Ag La Er
7 2 1 2
direct
0.5000 0.5000 0.5000
0.4109 0.9235 0.4109
0.5891 0.5891 0.0765
0.4109 0.4109 0.9235
0.9235 0.4109 0.4109
0.5891 0.0765 0.5891
0.0765 0.5891 0.5891
0.6642 0.6642 0.6642
0.3358 0.3358 0.3358
0.0000 0.0000 0.0000
0.8579 0.8579 0.8579
0.1421 0.1421 0.1421
```

Results
SG = R-3m (166)

---

Compound: La2ErAl7Ag2
Source: OQMD via LeMat-Bulk
Functional: PBE-GGA
Structure: optimized geometry

Structure (POSCAR):
```
La2ErAl7Ag2
1.0
-2.4614 -2.3922 8.8904
2.5271 -4.8109 7.8287
2.2802 0.6515 9.2302
Al Ag La Er
7 2 2 1
direct
0.5845 0.5845 0.0736
0.4155 0.4155 0.9264
0.5845 0.0736 0.5845
0.4155 0.9264 0.4155
0.9264 0.4155 0.4155
0.0736 0.5845 0.5845
0.5000 0.5000 0.5000
0.3360 0.3360 0.3360
0.6640 0.6640 0.6640
0.1423 0.1423 0.1423
0.8577 0.8577 0.8577
0.0000 0.0000 0.0000
```

Results
SG = R-3m (166)

---

Compound: Nd2ErAl7Ag2
Source: OQMD via LeMat-Bulk
Functional: PBE-GGA
Structure: optimized geometry

Structure (POSCAR):
```
Nd2ErAl7Ag2
1.0
6.0192 -7.2786 -0.0001
8.7916 -2.8178 1.9941
5.3157 -5.6923 5.3431
Ag Al Nd Er
2 7 2 1
direct
0.3359 0.3359 0.3359
0.6641 0.6641 0.6641
0.9254 0.4141 0.4141
0.5859 0.0746 0.5859
0.0746 0.5859 0.5859
0.4141 0.4141 0.9254
0.5859 0.5859 0.0746
0.5000 0.5000 0.5000
0.4141 0.9254 0.4141
0.1417 0.1417 0.1417
0.8583 0.8583 0.8583
0.0000 0.0000 0.0000
```

Results
SG = R-3m (166)

---

Compound: ErTm2Al3NiAg2
Source: OQMD via LeMat-Bulk
Functional: PBE-GGA
Structure: optimized geometry

Structure (POSCAR):
```
ErTm2Al3NiAg2
1.0
4.0993 0.0000 0.0000
0.0000 6.1546 3.5491
0.0000 -6.1546 3.5491
Ag Tm Al Er Ni
2 2 3 1 1
direct
0.5000 0.3328 0.6676
0.5000 0.6676 0.3328
0.0000 0.0000 0.6028
0.0000 0.6028 0.0000
0.5000 0.2242 0.0000
0.5000 0.0000 0.2242
0.5000 0.7753 0.7753
0.0000 0.3982 0.3982
0.0000 0.9988 0.9988
```

Results
SG = Amm2 (38)

---

Compound: YEr2Al3NiAg2
Source: OQMD via LeMat-Bulk
Functional: PBE-GGA
Structure: optimized geometry

Structure (POSCAR):
```
YEr2Al3NiAg2
1.0
-3.8769 -0.4582 -1.3084
1.0339 -7.0643 -0.5898
-2.4037 2.7876 6.1460
Er Al Ni Y Ag
2 3 1 1 2
direct
0.0000 0.9998 0.3979
0.0000 0.3979 0.9998
0.5000 0.7778 0.0000
0.5000 0.0000 0.7778
0.5000 0.2229 0.2229
0.0000 0.0034 0.0034
0.0000 0.5996 0.5996
0.5000 0.6679 0.3305
0.5000 0.3305 0.6679
```

Results
SG = Amm2 (38)

---

Compound: Tb2ErAl3AgPd2
Source: OQMD via LeMat-Bulk
Functional: PBE-GGA
Structure: optimized geometry

Structure (POSCAR):
```
Tb2ErAl3AgPd2
1.0
-2.1385 -1.9705 2.5722
5.9877 -3.7838 2.0793
-1.7258 6.3181 3.4055
Al Pd Tb Er Ag
3 2 2 1 1
direct
0.5000 0.7450 0.7450
0.5000 0.2545 0.0016
0.5000 0.0016 0.2545
0.5000 0.3344 0.6641
0.5000 0.6641 0.3344
0.0000 0.5842 0.9995
0.0000 0.9995 0.5842
0.0000 0.4151 0.4151
0.0000 0.0016 0.0016
```

Results
SG = Amm2 (38)

---

Compound: Er2TmAl3AgPd2
Source: OQMD via LeMat-Bulk
Functional: PBE-GGA
Structure: optimized geometry

Structure (POSCAR):
```
Er2TmAl3AgPd2
1.0
3.8448 0.0000 0.0000
0.0000 6.3561 3.6745
0.0000 -6.3561 3.6745
Pd Al Er Tm Ag
2 3 2 1 1
direct
0.5000 0.6658 0.3337
0.5000 0.3337 0.6658
0.5000 0.2560 0.0005
0.5000 0.7438 0.7438
0.5000 0.0005 0.2560
0.0000 0.9998 0.5854
0.0000 0.5854 0.9998
0.0000 0.4144 0.4144
0.0000 0.0006 0.0006
```

Results
SG = Amm2 (38)

---

Compound: Y2ErAl3AgPd2
Source: OQMD via LeMat-Bulk
Functional: PBE-GGA
Structure: optimized geometry

Structure (POSCAR):
```
Y2ErAl3AgPd2
1.0
-2.7318 -2.4454 1.2341
2.8784 0.2125 6.7926
-5.2151 4.8551 -1.9236
Al Pd Y Er Ag
3 2 2 1 1
direct
0.5000 0.0006 0.2553
0.5000 0.2553 0.0006
0.5000 0.7451 0.7451
0.5000 0.3345 0.6628
0.5000 0.6628 0.3345
0.0000 0.5854 0.9994
0.0000 0.9994 0.5854
0.0000 0.4148 0.4148
0.0000 0.0021 0.0021
```

Results
SG = Amm2 (38)

---

Compound: YEr2Al3AgPt2
Source: OQMD via LeMat-Bulk
Functional: PBE-GGA
Structure: optimized geometry

Structure (POSCAR):
```
YEr2Al3AgPt2
1.0
-0.7232 3.0707 2.2791
-1.1430 -4.4900 5.6868
6.7260 2.5926 -1.3589
Pt Er Al Ag Y
2 2 3 1 1
direct
0.5000 0.3296 0.6676
0.5000 0.6676 0.3296
0.0000 0.4145 0.9992
0.0000 0.9992 0.4145
0.5000 0.0003 0.7412
0.5000 0.7412 0.0003
0.5000 0.2592 0.2592
0.0000 0.0026 0.0026
0.0000 0.5857 0.5857
```

Results
SG = Amm2 (38)

---

Compound: Y2ErAl3AgPt2
Source: OQMD via LeMat-Bulk
Functional: PBE-GGA
Structure: optimized geometry

Structure (POSCAR):
```
Y2ErAl3AgPt2
1.0
3.9047 0.0000 0.0000
0.0000 6.3503 3.6794
0.0000 -6.3503 3.6794
Er Al Y Pt Ag
1 3 2 2 1
direct
0.0000 0.5851 0.5851
0.5000 0.9996 0.7410
0.5000 0.7410 0.9996
0.5000 0.2587 0.2587
0.0000 0.4147 0.0008
0.0000 0.0008 0.4147
0.5000 0.6657 0.3372
0.5000 0.3372 0.6657
0.0000 0.9972 0.9972
```

Results
SG = Amm2 (38)

---

Compound: Sm2ErAl7Ag2
Source: OQMD via LeMat-Bulk
Functional: PBE-GGA
Structure: optimized geometry

Structure (POSCAR):
```
Sm2ErAl7Ag2
1.0
2.7963 1.6145 8.8312
-2.7963 1.6145 8.8312
0.0000 -3.2289 8.8312
Al Sm Er Ag
7 2 1 2
direct
0.5000 0.5000 0.5000
0.4131 0.9250 0.4131
0.5869 0.5869 0.0750
0.4131 0.4131 0.9250
0.5869 0.0750 0.5869
0.0750 0.5869 0.5869
0.9250 0.4131 0.4131
0.1418 0.1418 0.1418
0.8582 0.8582 0.8582
0.0000 0.0000 0.0000
0.6641 0.6641 0.6641
0.3359 0.3359 0.3359
```

Results
SG = R-3m (166)

---

Compound: SmEr2Al7Ag2
Source: OQMD via LeMat-Bulk
Functional: PBE-GGA
Structure: optimized geometry

Structure (POSCAR):
```
SmEr2Al7Ag2
1.0
2.7742 1.6017 8.7849
-2.7742 1.6017 8.7849
0.0000 -3.2034 8.7849
Al Ag Er Sm
7 2 2 1
direct
0.5883 0.5883 0.0762
0.0762 0.5883 0.5883
0.4117 0.9238 0.4117
0.9238 0.4117 0.4117
0.5883 0.0762 0.5883
0.4117 0.4117 0.9238
0.5000 0.5000 0.5000
0.6644 0.6644 0.6644
0.3356 0.3356 0.3356
0.8577 0.8577 0.8577
0.1423 0.1423 0.1423
0.0000 0.0000 0.0000
```

Results
SG = R-3m (166)

---

Compound: Tb2ErAl7Ag2
Source: OQMD via LeMat-Bulk
Functional: PBE-GGA
Structure: optimized geometry

Structure (POSCAR):
```
Tb2ErAl7Ag2
1.0
2.7723 1.6006 8.7747
-2.7723 1.6006 8.7747
0.0000 -3.2012 8.7747
Al Ag Tb Er
7 2 2 1
direct
0.9242 0.4125 0.4125
0.4125 0.9242 0.4125
0.5000 0.5000 0.5000
0.0758 0.5875 0.5875
0.5875 0.0758 0.5875
0.4125 0.4125 0.9242
0.5875 0.5875 0.0758
0.6642 0.6642 0.6642
0.3358 0.3358 0.3358
0.1421 0.1421 0.1421
0.8579 0.8579 0.8579
0.0000 0.0000 0.0000
```

Results
SG = R-3m (166)

---

Compound: TbEr2Al7Ag2
Source: OQMD via LeMat-Bulk
Functional: PBE-GGA
Structure: optimized geometry

Structure (POSCAR):
```
TbEr2Al7Ag2
1.0
2.7650 1.5964 8.7547
-2.7650 1.5964 8.7547
0.0000 -3.1928 8.7547
Al Ag Er Tb
7 2 2 1
direct
0.5883 0.5883 0.0761
0.4117 0.9239 0.4117
0.9239 0.4117 0.4117
0.5000 0.5000 0.5000
0.4117 0.4117 0.9239
0.0761 0.5883 0.5883
0.5883 0.0761 0.5883
0.6643 0.6643 0.6643
0.3357 0.3357 0.3357
0.1425 0.1425 0.1425
0.8575 0.8575 0.8575
0.0000 0.0000 0.0000
```

Results
SG = R-3m (166)

---

For each record above, in turn, the calculated raw total energy values are -4.741; -4.701; -4.934; -4.241; -5.783; -5.768; -4.303; -4.274; -4.259; -4.498; -4.729; -4.953; -4.938; -5.366; -5.523; -5.729; -4.261; -4.272; -4.253; -4.255 eV/atom.
For each record above, in turn, the calculated ρ values are 7.39; 7.71; 6.88; 6.50; 10.12; 10.24; 6.14; 5.71; 5.89; 7.98; 7.08; 8.03; 8.37; 6.78; 9.20; 8.41; 6.06; 6.31; 6.32; 6.43 g cm⁻³.